GaSb2Ru2: optimized geometry, PBE-GGA.

DFT total energy = -5.8880 eV per atom
ΔE_f (raw) = 0.4 eV per formula unit

a = 7.727 Å, b = 7.727 Å, c = 3.104 Å
α = 90.00°, β = 90.00°, γ = 90.00°
Fractional positions:
Ru (0.142, 0.358, 0.000)
Sb (0.152, 0.652, 0.500)
Ru (0.858, 0.642, 0.000)
Ru (0.642, 0.142, 0.000)
Sb (0.848, 0.348, 0.500)
Sb (0.348, 0.152, 0.500)
Ru (0.358, 0.858, 0.000)
Ga (0.000, 0.000, 0.000)
Sb (0.652, 0.848, 0.500)
Ga (0.500, 0.500, 0.000)